Material: CrPd3O6
Method: DFT, PBE+U
State: relaxed

abc: 3.185 6.179 6.179
angles: 107.94 90.00 90.00
Last column: magnetic moment on the atom in μB.
Atoms (fractional coordinates):
Cr1 0.000 0.500 0.500  3.26
Pd1 0.500 0.500 0.000  0.14
Pd2 0.000 0.000 0.000  0.00
Pd3 0.500 0.000 0.500  0.14
O1 0.000 0.088 0.337  -0.01
O2 0.000 0.912 0.663  -0.01
O3 0.000 0.337 0.088  -0.01
O4 0.000 0.663 0.912  -0.01
O5 0.500 0.636 0.364  -0.05
O6 0.500 0.364 0.636  -0.05

Values from the calculation:
- V: 115.68 Å³/cell
- Symmetry: Cmmm (65)
- VASP energy: -5.99 eV per atom
- Excess energy over the best structure of this formula in the dataset: 0 meV/atom
- Spin magnetization: 3.5 μB/f.u.
- Crystal system: orthorhombic